VASP calculation (PBE) on a relaxed structure of Pu2AgPd2.

Lattice parameters (Å, degrees): 3.9340 7.5141 7.5141 90.00 90.00 90.00
With the nearest neighbours (Å) after each atom.
Fractional coordinates of all 10 atoms:
Pu  0.5000  0.1697  0.6697  6 Pd 2.87-3.02
Pu  0.5000  0.6697  0.8303  6 Pd 2.87-3.02
Pu  0.5000  0.8303  0.3303  6 Pd 2.87-3.02
Pu  0.5000  0.3303  0.1697  6 Pd 2.87-3.02
Ag  0.0000  0.0000  0.0000  4 Pd 2.93
Ag  0.0000  0.5000  0.5000  4 Pd 2.93
Pd  0.0000  0.3670  0.8670  1 Pd 2.83, 6 Pu 2.87-3.02, 2 Ag 2.93
Pd  0.0000  0.8670  0.6330  1 Pd 2.83, 6 Pu 2.87-3.02, 2 Ag 2.93
Pd  0.0000  0.6330  0.1330  1 Pd 2.83, 6 Pu 2.87-3.02, 2 Ag 2.93
Pd  0.0000  0.1330  0.3670  1 Pd 2.83, 6 Pu 2.87-3.02, 2 Ag 2.93

## Properties
Total energy, eV for the cell shown: -87.0
Formation enthalpy at 0 K, eV/atom: -0.3209
Symmetry: No. 127

***

VASP calculation (PBE) on a relaxed structure of PuAgPd.

Lattice parameters (Å, degrees): 3.4514 3.4514 5.7818 107.37 107.37 90.00
With the nearest neighbours (Å) after each atom.
Fractional coordinates of all 3 atoms:
Ag  0.9322  0.9322  0.8643  4 Pd 2.86, 5 Pu 3.18-3.20
Pd  0.2906  0.2906  0.5812  4 Ag 2.86, 4 Pu 2.98
Pu  0.6272  0.6272  0.2545  4 Pd 2.98, 5 Ag 3.18-3.20

## Properties
Total energy, eV for the cell shown: -22.8
Formation enthalpy at 0 K, eV/atom: -0.1506
Symmetry: No. 107

***

VASP calculation (PBE) on a relaxed structure of Pu6AgPd5.

Lattice parameters (Å, degrees): 4.8822 8.5614 8.5614 117.30 106.57 106.57
With the nearest neighbours (Å) after each atom.
Fractional coordinates of all 12 atoms:
Pd  0.5000  0.1545  0.8455  8 Pu 3.00-3.12, 2 Ag 3.33
Pd  0.0000  0.3339  0.6661  8 Pu 2.99-3.04
Pd  0.5000  0.5000  0.5000  8 Pu 3.00-3.11
Pd  0.0000  0.6661  0.3339  8 Pu 2.99-3.04
Pd  0.5000  0.8455  0.1545  8 Pu 3.00-3.12, 2 Ag 3.33
Ag  0.0000  0.0000  0.0000  8 Pu 3.14-3.18, 4 Pd 3.33
Pu  0.2574  0.0840  0.4308  7 Pd 3.03-3.12, 1 Ag 3.18, 2 Pu 3.32
Pu  0.7426  0.5692  0.9160  7 Pd 3.03-3.12, 1 Ag 3.18, 2 Pu 3.32
Pu  0.7650  0.2650  0.2650  6 Pd 2.99-3.00, 2 Ag 3.14
Pu  0.2350  0.7350  0.7350  6 Pd 2.99-3.00, 2 Ag 3.14
Pu  0.2574  0.4308  0.0840  7 Pd 3.03-3.12, 1 Ag 3.18, 2 Pu 3.32
Pu  0.7426  0.9160  0.5692  7 Pd 3.03-3.12, 1 Ag 3.18, 2 Pu 3.32

## Properties
Total energy, eV for the cell shown: -118.5
Formation enthalpy at 0 K, eV/atom: -0.3104
Symmetry: No. 71

***

VASP calculation (PBE) on a relaxed structure of PuAg2Pd.

Lattice parameters (Å, degrees): 3.0184 5.5537 9.7839 90.00 90.00 105.79
With the nearest neighbours (Å) after each atom.
Fractional coordinates of all 8 atoms:
Pu  0.9655  0.9319  0.2500  3 Pd 2.83-2.93, 2 Pu 3.02
Pu  0.0345  0.0681  0.7500  3 Pd 2.83-2.93, 2 Pu 3.02
Ag  0.3651  0.7294  0.5205  3 Pd 2.89-3.01, 5 Ag 2.91-3.02, 2 Pu 3.23
Ag  0.6349  0.2706  0.4795  3 Pd 2.89-3.01, 5 Ag 2.91-3.02, 2 Pu 3.23
Ag  0.3651  0.7294  0.9795  3 Pd 2.89-3.01, 5 Ag 2.91-3.02, 2 Pu 3.23
Ag  0.6349  0.2706  0.0205  3 Pd 2.89-3.01, 5 Ag 2.91-3.02, 2 Pu 3.23
Pd  0.7693  0.5380  0.7500  3 Pu 2.83-2.93, 6 Ag 2.89-3.01, 2 Pd 3.02
Pd  0.2307  0.4620  0.2500  3 Pu 2.83-2.93, 6 Ag 2.89-3.01, 2 Pd 3.02

## Properties
Total energy, eV for the cell shown: -51.5
Formation enthalpy at 0 K, eV/atom: -0.1347
Symmetry: No. 63

***

VASP calculation (PBE) on a relaxed structure of Pu2AgPd4.

Lattice parameters (Å, degrees): 4.0234 4.0234 9.4948 102.23 102.23 90.00
With the nearest neighbours (Å) after each atom.
Fractional coordinates of all 7 atoms:
Pu  0.6137  0.6137  0.2273  8 Pd 2.91-3.19
Pu  0.3863  0.3863  0.7727  8 Pd 2.91-3.19
Ag  0.0000  0.0000  0.0000  2 Pd 2.66
Pd  0.1466  0.1466  0.2932  1 Ag 2.66, 4 Pd 2.75, 4 Pu 2.91
Pd  0.8534  0.8534  0.7068  1 Ag 2.66, 4 Pd 2.75, 4 Pu 2.91
Pd  0.7500  0.2500  0.5000  8 Pd 2.75-2.84
Pd  0.2500  0.7500  0.5000  8 Pd 2.75-2.84

## Properties
Total energy, eV for the cell shown: -54.5
Formation enthalpy at 0 K, eV/atom: -0.3181
Symmetry: No. 139

***

VASP calculation (PBE) on a relaxed structure of Pu2Ag2Pd.

Lattice parameters (Å, degrees): 8.5052 8.5052 6.2800 46.56 46.56 20.33
With the nearest neighbours (Å) after each atom.
Fractional coordinates of all 5 atoms:
Pu  0.6875  0.6875  0.8526  2 Pd 2.98, 2 Pu 3.00, 3 Ag 3.14-3.16
Pu  0.3125  0.3125  0.1474  2 Pd 2.98, 2 Pu 3.00, 3 Ag 3.14-3.16
Ag  0.4165  0.4165  0.4945  2 Pd 2.79, 3 Ag 2.84-3.00
Ag  0.5835  0.5835  0.5055  2 Pd 2.79, 3 Ag 2.84-3.00
Pd  0.0000  0.0000  0.0000  4 Ag 2.79, 4 Pu 2.98, 2 Pd 3.00

## Properties
Total energy, eV for the cell shown: -39.4
Formation enthalpy at 0 K, eV/atom: 0.0402
Symmetry: No. 12

***

VASP calculation (PBE) on a relaxed structure of Pu2Ag2Pd.

Lattice parameters (Å, degrees): 4.6159 4.6159 11.8754 101.21 101.21 90.00
With the nearest neighbours (Å) after each atom.
Fractional coordinates of all 10 atoms:
Pu  0.8206  0.8206  0.6412  2 Pd 2.82
Pu  0.5706  0.0706  0.1412  2 Pd 2.82
Pu  0.9294  0.4294  0.8588  2 Pd 2.82
Pu  0.1794  0.1794  0.3588  2 Pd 2.82
Ag  0.4209  0.9209  0.8418  2 Pd 2.93, 2 Ag 3.12, 6 Pu 3.25-3.27
Ag  0.6709  0.6709  0.3418  2 Pd 2.93, 2 Ag 3.12, 6 Pu 3.25-3.27
Ag  0.3291  0.3291  0.6582  2 Pd 2.93, 2 Ag 3.12, 6 Pu 3.25-3.27
Ag  0.0791  0.5791  0.1582  2 Pd 2.93, 2 Ag 3.12, 6 Pu 3.25-3.27
Pd  0.5000  0.5000  0.0000  4 Pu 2.82, 4 Ag 2.93
Pd  0.2500  0.7500  0.5000  4 Pu 2.82, 4 Ag 2.93

## Properties
Total energy, eV for the cell shown: -78.4
Formation enthalpy at 0 K, eV/atom: 0.0695
Symmetry: No. 141

***

VASP calculation (PBE) on a relaxed structure of Pu3AgPd3.

Lattice parameters (Å, degrees): 4.1641 9.7541 8.2077 126.45 90.00 90.00
With the nearest neighbours (Å) after each atom.
Fractional coordinates of all 14 atoms:
Pu  0.2500  0.5302  0.5977  3 Pu 2.45-2.48
Pu  0.2500  0.2266  0.4531  2 Pu 2.45
Pu  0.2500  0.0676  0.5978  3 Pu 2.45-2.48
Pu  0.7500  0.4698  0.4023  3 Pu 2.45-2.48
Pu  0.7500  0.7734  0.5469  2 Pu 2.45
Pu  0.7500  0.9324  0.4022  3 Pu 2.45-2.48
Ag  0.7500  0.4184  0.8370  2 Pd 2.82, 2 Ag 2.99
Ag  0.2500  0.5816  0.1630  2 Pd 2.82, 2 Ag 2.99
Pd  0.7500  0.7217  0.8675  5 Pd 2.72-2.94, 3 Pu 2.79-2.96, 1 Ag 2.82
Pd  0.7500  0.0776  0.1552  8 Pd 2.81-2.94, 4 Pu 2.86-3.09
Pd  0.7500  0.1455  0.8674  5 Pd 2.72-2.94, 3 Pu 2.79-2.96, 1 Ag 2.82
Pd  0.2500  0.2783  0.1325  5 Pd 2.72-2.94, 3 Pu 2.79-2.96, 1 Ag 2.82
Pd  0.2500  0.9224  0.8448  8 Pd 2.81-2.94, 4 Pu 2.86-3.09
Pd  0.2500  0.8545  0.1326  5 Pd 2.72-2.94, 3 Pu 2.79-2.96, 1 Ag 2.82

## Properties
Total energy, eV for the cell shown: -123.2
Formation enthalpy at 0 K, eV/atom: -0.0248
Symmetry: No. 63

***

VASP calculation (PBE) on a relaxed structure of PuAgPd14.

Lattice parameters (Å, degrees): 5.7018 5.7018 7.9276 90.00 90.00 90.00
With the nearest neighbours (Å) after each atom.
Fractional coordinates of all 16 atoms:
Pu  0.3750  0.3750  0.5000  12 Pd 2.85
Ag  0.8750  0.8750  0.5000  12 Pd 2.85
Pd  0.8750  0.8750  0.0000  12 Pd 2.80-2.85
Pd  0.3750  0.3750  0.0000  12 Pd 2.80-2.85
Pd  0.8750  0.3750  0.5000  8 Pd 2.85, 2 Ag 2.85, 2 Pu 2.85
Pd  0.8750  0.3750  0.0000  12 Pd 2.80-2.85
Pd  0.3750  0.8750  0.5000  8 Pd 2.85, 2 Ag 2.85, 2 Pu 2.85
Pd  0.3750  0.8750  0.0000  12 Pd 2.80-2.85
Pd  0.6248  0.1252  0.2457  10 Pd 2.80-2.85, 1 Pu 2.85, 1 Ag 2.85
Pd  0.6248  0.1252  0.7543  10 Pd 2.80-2.85, 1 Pu 2.85, 1 Ag 2.85
Pd  0.1252  0.6248  0.2457  10 Pd 2.80-2.85, 1 Pu 2.85, 1 Ag 2.85
Pd  0.1252  0.6248  0.7543  10 Pd 2.80-2.85, 1 Pu 2.85, 1 Ag 2.85
Pd  0.6247  0.6247  0.2457  10 Pd 2.80-2.85, 1 Pu 2.85, 1 Ag 2.85
Pd  0.6247  0.6247  0.7543  10 Pd 2.80-2.85, 1 Pu 2.85, 1 Ag 2.85
Pd  0.1253  0.1253  0.2458  10 Pd 2.80-2.85, 1 Pu 2.85, 1 Ag 2.85
Pd  0.1253  0.1253  0.7542  10 Pd 2.80-2.85, 1 Pu 2.85, 1 Ag 2.85

## Properties
Total energy, eV for the cell shown: -92.2
Formation enthalpy at 0 K, eV/atom: -0.1463
Symmetry: No. 123

***

VASP calculation (PBE) on a relaxed structure of Pu4AgPd12.

Lattice parameters (Å, degrees): 7.4354 7.4354 7.4354 109.47 109.47 109.47
With the nearest neighbours (Å) after each atom.
Fractional coordinates of all 17 atoms:
Pu  0.0000  0.0000  0.5000  12 Pd 3.04-3.07
Pu  0.5000  0.0000  0.0000  12 Pd 3.04-3.07
Pu  0.5000  0.5000  0.5000  12 Pd 3.04-3.07
Pu  0.0000  0.5000  0.0000  12 Pd 3.04-3.07
Ag  0.0000  0.0000  0.0000  6 Pd 2.60
Pd  0.0000  0.3028  0.3028  1 Ag 2.60, 4 Pd 2.73
Pd  0.0000  0.6972  0.6972  1 Ag 2.60, 4 Pd 2.73
Pd  0.6972  0.6972  0.0000  1 Ag 2.60, 4 Pd 2.73
Pd  0.3028  0.3028  0.0000  1 Ag 2.60, 4 Pd 2.73
Pd  0.3028  0.0000  0.3028  1 Ag 2.60, 4 Pd 2.73
Pd  0.6972  0.0000  0.6972  1 Ag 2.60, 4 Pd 2.73
Pd  0.5000  0.2500  0.7500  8 Pd 2.73-3.04, 4 Pu 3.04
Pd  0.5000  0.7500  0.2500  8 Pd 2.73-3.04, 4 Pu 3.04
Pd  0.7500  0.2500  0.5000  8 Pd 2.73-3.04, 4 Pu 3.04
Pd  0.2500  0.7500  0.5000  8 Pd 2.73-3.04, 4 Pu 3.04
Pd  0.7500  0.5000  0.2500  8 Pd 2.73-3.04, 4 Pu 3.04
Pd  0.2500  0.5000  0.7500  8 Pd 2.73-3.04, 4 Pu 3.04

## Properties
Total energy, eV for the cell shown: -130.2
Formation enthalpy at 0 K, eV/atom: -0.4511
Symmetry: No. 229